Below is an optimized crystal structure of Lu3Pa, with properties calculated at the GGA-PBE level.

## Properties
* energy of formation: 0.284 eV per atom
* Fermi-level density of states: 29.69 states/eV per cell

a b c (Å): 7.701 7.701 7.701
angles (deg): 90.00 90.00 90.00
Space group Fm-3m (No. 225)
Inequivalent atoms, fractional coordinates:
1 Lu 0.000 0.000 0.000
2 Lu 0.250 0.250 0.250
3 Pa 0.000 0.000 0.500

=====

Below is an optimized crystal structure of TaTl2In, with properties calculated at the GGA-PBE level.

## Properties
* energy of formation: 0.799 eV per atom
* Fermi-level density of states: 11.79 states/eV per cell

a b c (Å): 8.255 8.255 6.023
angles (deg): 90.00 90.00 90.00
Space group I-42d (No. 122)
Inequivalent atoms, fractional coordinates:
1 Ta 0.000 0.000 0.000
2 Tl 0.226 0.250 0.125
3 In 0.000 0.000 0.500

=====

Below is an optimized crystal structure of AcPmBeZn, with properties calculated at the GGA-PBE level.

## Properties
* energy of formation: 0.037 eV per atom
* Fermi-level density of states: 15.26 states/eV per cell

a b c (Å): 7.428 7.428 7.428
angles (deg): 90.00 90.00 90.00
Space group F-43m (No. 216)
Inequivalent atoms, fractional coordinates:
1 Ac 0.000 0.000 0.000
2 Pm 0.000 0.000 0.500
3 Be 0.250 0.250 0.250
4 Zn 0.250 0.250 0.750

=====

Across the entries above, total magnetic moment takes the values 0.00, 0.00, 0.00 μB per atom, respectively.
Across the entries above, V takes the values 28.54, 25.65, 25.62 Å³/atom, respectively.